# 1
An optimized crystal structure of Li2LaNiI. Source: Alexandria, functional GGA-PBE.

Calculated values
Theoretical density ... 4.53 g/cm³
Electronic total energy ... -3.51 eV per atom
E_form (uncorrected) ... -28.1 kJ per mole of atoms

Unit cell a=4.9358 b=4.9358 c=5.0954 alpha=90.00 beta=90.00 gamma=90.00
With the nearest neighbours (Å) after each atom.
Space group P4/mmm (No. 123)
Unique sites:
1 Li 0.0000 0.5000 0.0000  2 Ni 2.47
2 La 0.0000 0.0000 0.5000  2 Ni 2.55
3 Ni 0.0000 0.0000 0.0000  4 Li 2.47, 2 La 2.55
4 I 0.5000 0.5000 0.5000  4 La 3.49, 8 Li 3.55

---

# 2
An optimized crystal structure of ZrTaPd14. Source: Alexandria, functional GGA-PBE.

Calculated values
Theoretical density ... 11.62 g/cm³
Electronic total energy ... -6.18 eV per atom
Energy relative to the elements ... -8.2 kcal/mol of atoms

Unit cell a=5.6586 b=5.6586 c=7.8672 alpha=90.00 beta=90.00 gamma=90.00
With the nearest neighbours (Å) after each atom.
Space group P4/mmm (No. 123)
Unique sites:
1 Zr 0.0000 0.0000 0.0000  12 Pd 2.80-2.83
2 Ta 0.5000 0.5000 0.0000  12 Pd 2.76-2.83
3 Pd 0.0000 0.0000 0.5000  12 Pd 2.83-2.85
4 Pd 0.0000 0.5000 0.0000  8 Pd 2.78, 2 Zr 2.83, 2 Ta 2.83
5 Pd 0.0000 0.5000 0.5000  12 Pd 2.83
6 Pd 0.2531 0.2531 0.2458  1 Ta 2.76, 10 Pd 2.78-2.86, 1 Zr 2.80
7 Pd 0.5000 0.5000 0.5000  12 Pd 2.81-2.83

---

# 3
An optimized crystal structure of Tl2Cd. Source: Alexandria, functional GGA-PBE.

Calculated values
Theoretical density ... 10.02 g/cm³
Electronic total energy ... -1.85 eV per atom
Energy relative to the elements ... 0.8 kcal/mol of atoms
Energy relative to the lowest polymorph listed for this composition ... 0.004 eV per atom

Unit cell a=8.8875 b=8.8875 c=3.7862 alpha=90.00 beta=90.00 gamma=120.00
With the nearest neighbours (Å) after each atom.
Space group P-62m (No. 189)
Unique sites:
1 Tl 0.0000 0.2864 0.0000  4 Cd 3.17-3.19, 2 Tl 3.52
2 Tl 0.0000 0.6207 0.5000  5 Cd 3.36-3.37, 6 Tl 3.52-3.58
3 Cd 0.0000 0.0000 0.5000  9 Tl 3.17-3.37
4 Cd 0.3333 0.6667 0.0000  9 Tl 3.19-3.36

---

# 4
An optimized crystal structure of CaSm2USb4. Source: Alexandria, functional GGA-PBE.

Calculated values
Theoretical density ... 7.06 g/cm³
Electronic total energy ... -5.75 eV per atom
E_form (uncorrected) ... -82.1 kJ per mole of atoms

Unit cell a=7.7120 b=4.4567 c=7.7168 alpha=90.00 beta=109.09 gamma=90.00
With the nearest neighbours (Å) after each atom.
Space group P2/m (No. 10)
Unique sites:
1 Ca 0.0000 0.0000 0.0000  6 Sb 3.15-3.17
2 Sm 0.0000 0.5000 0.5000  6 Sb 3.20-3.21
3 Sm 0.5000 0.0000 0.5000  6 Sb 3.13-3.15
4 U 0.5000 0.5000 0.0000  6 Sb 3.07-3.12
5 Sb 0.2568 0.0000 0.7552  2 U 3.12, 3 Sm 3.13-3.20, 1 Ca 3.15
6 Sb 0.2572 0.5000 0.2465  1 U 3.07, 3 Sm 3.15-3.21, 2 Ca 3.17

---

# 5
An optimized crystal structure of SnHSe2. Source: Alexandria, functional GGA-PBE.

Calculated values
Theoretical density ... 6.02 g/cm³
Electronic total energy ... -3.09 eV per atom
Energy relative to the lowest polymorph listed for this composition ... 0.696 eV per atom

Unit cell a=6.7397 b=6.7397 c=6.7397 alpha=90.00 beta=90.00 gamma=90.00
With the nearest neighbours (Å) after each atom.
Space group Fm-3m (No. 225)
Unique sites:
1 Sn 0.0000 0.0000 0.0000  8 Se 2.92
2 H 0.0000 0.0000 0.5000  8 Se 2.92
3 Se 0.2500 0.2500 0.2500  4 H 2.92, 4 Sn 2.92

---

# 6
An optimized crystal structure of Cu2Te. Source: Alexandria, functional GGA-PBE.

Calculated values
Theoretical density ... 6.02 g/cm³
Electronic total energy ... -3.40 eV per atom
E_form (uncorrected) ... 36.1 kJ per mole of atoms

Unit cell a=4.1110 b=4.1110 c=4.8020 alpha=90.00 beta=90.00 gamma=120.00
With the nearest neighbours (Å) after each atom.
Space group P-6m2 (No. 187)
Unique sites:
1 Cu 0.0000 0.0000 0.2495  2 Cu 2.40-2.41, 3 Te 2.66
2 Te 0.3333 0.6667 0.0000  6 Cu 2.66

---

# 7
An optimized crystal structure of ErPuSc4. Source: Alexandria, functional GGA-PBE.

Calculated values
Theoretical density ... 6.45 g/cm³
Electronic total energy ... -7.29 eV per atom
Energy relative to the elements ... 1.9 kcal/mol of atoms
Energy relative to the lowest polymorph listed for this composition ... 0.000 eV per atom

Unit cell a=5.2680 b=5.2680 c=6.3294 alpha=90.00 beta=90.00 gamma=120.00
With the nearest neighbours (Å) after each atom.
Space group P6/mmm (No. 191)
Unique sites:
1 Er 0.0000 0.0000 0.0000  2 Pu 3.16, 12 Sc 3.43
2 Pu 0.0000 0.0000 0.5000  2 Er 3.16, 12 Sc 3.42
3 Sc 0.3333 0.6667 0.2513  5 Sc 3.04-3.18

---

# 8
An optimized crystal structure of LiIn2Sn6. Source: Alexandria, functional GGA-PBE.

Calculated values
Theoretical density ... 6.49 g/cm³
Electronic total energy ... -3.51 eV per atom
Energy relative to the elements ... -0.4 kcal/mol of atoms

Unit cell a=9.4728 b=9.4728 c=3.1241 alpha=90.00 beta=90.00 gamma=120.00
With the nearest neighbours (Å) after each atom.
Space group P6/mmm (No. 191)
Unique sites:
1 Li 0.0000 0.0000 0.0000  2 Li 3.12, 12 Sn 3.44
2 In 0.3333 0.6667 0.0000  2 In 3.12
3 Sn 0.0000 0.3232 0.5000  5 Sn 3.06-3.35